Record 1
## DyGa4OsRu2 (PBE)

Data for an optimized crystal structure of DyGa4OsRu2.

Structure (extended XYZ):
```
8
Lattice="-3.163 2.802 -0.434 -4.032 -1.336 -0.029 -2.758 1.390 8.286" Properties=species:S:1:pos:R:3 pbc="T T T"
Dy 0.000 0.000 0.000
Ga -5.085 1.700 6.461
Ga -7.337 1.821 2.869
Ga -2.616 1.034 4.955
Ga -4.868 1.156 1.363
Os -4.976 1.428 3.912
Ru -7.453 2.113 5.601
Ru -2.499 0.742 2.222
```

Results
Formation energy from the elements   -0.301 eV/atom
Total magnetic moment   0.0000 μB per atom
DOS at the Fermi energy   4.8 states/eV/f.u.

***

Record 2
## Rb2VBr5 (PBE)

Data for an optimized crystal structure of Rb2VBr5.

Structure (extended XYZ):
```
8
Lattice="-5.181 -2.026 -5.741 -1.418 -6.931 3.722 -0.258 6.540 3.493" Properties=species:S:1:pos:R:3 pbc="T T T"
Rb -2.575 -2.385 3.163
Rb -4.456 0.068 -1.568
V -6.622 -2.554 1.310
Br -4.470 -3.036 -3.583
Br -1.563 -1.900 -0.364
Br -5.264 -6.924 -1.496
Br -2.359 -5.787 1.725
Br -4.872 -3.567 0.089
```

Results
Calculated total energy   -3.72 eV per atom
Total magnetic moment   0.2500 μB per atom
DOS at the Fermi energy   8.8 states/eV/f.u.

***

Record 3
## LiAc2Er (PBE)

Data for an optimized crystal structure of LiAc2Er.

Structure (extended XYZ):
```
4
Lattice="-2.509 -2.374 1.602 0.860 -3.686 0.410 4.065 0.232 11.237" Properties=species:S:1:pos:R:3 pbc="T T T"
Li 2.958 -3.812 12.562
Ac 2.916 -0.329 8.608
Ac 0.602 -1.458 3.308
Er 1.211 -2.912 6.633
```

Results
Formation energy from the elements   0.098 eV/atom
Total magnetic moment   0.0000 μB per atom
DOS at the Fermi energy   3.6 states/eV/f.u.
ΔE to the lowest computed polymorph   20.6 meV/atom